First-principles (PBE) data for GaB2Ru5W2 after structural relaxation, as listed in Alexandria via LeMat-Bulk.

abc: 9.3351 9.3351 2.9135
angles: 90.00 90.00 90.00
Closest atoms and distances in Å follow each position.
Space group P4/mbm (No. 127)
Asymmetric unit:
1 Ga 0.0000 0.0000 0.0000 [2 per cell]  8 Ru 2.57
2 B 0.1253 0.3747 0.0000 [4 per cell]  6 Ru 2.15-2.20
3 Ru 0.0000 0.5000 0.5000 [2 per cell]  4 B 2.20
4 Ru 0.0670 0.2164 0.5000 [8 per cell]  2 B 2.15
5 W 0.1788 0.6788 0.0000 [4 per cell]  3 B 2.59-2.88, 10 Ru 2.77-2.89

magnetization	0.0	μB per cell
volume	127	Å³/f.u.
formation energy from the elements	-29.64	kJ/mol of atoms